## RbIn2PF (PBE-GGA)

Data for a relaxed RbIn2PF crystal.

It has space group P4/mmm (No. 123), with a = 6.841 Å, b = 6.841 Å, c = 5.314 Å, α = 90.00°, β = 90.00° and γ = 90.00°. Symmetry generates all atoms from Rb at (0.000, 0.000, 0.000), In at (0.000, 0.500, 0.000), P at (0.000, 0.000, 0.500) and F at (0.500, 0.500, 0.500).

The value obtained for the uncorrected formation energy is 0.71 eV per atom. As for the crystal system: tetragonal.


## InPS2F (PBE-GGA)

Data for a relaxed InPS2F crystal.

It has space group P4/mmm (No. 123), with a = 5.035 Å, b = 5.035 Å, c = 5.256 Å, α = 90.00°, β = 90.00° and γ = 90.00°. Symmetry generates all atoms from In at (0.000, 0.000, 0.000), P at (0.000, 0.000, 0.500), S at (0.000, 0.500, 0.000) and F at (0.500, 0.500, 0.500).

The value obtained for the uncorrected formation energy is 0.79 eV per atom. Its energy above the lowest structure with this stoichiometry is 390.9 meV per atom. As for the crystal system: tetragonal.


## InPS2F (PBE-GGA)

Data for a relaxed InPS2F crystal.

It has space group P4/mmm (No. 123), with a = 5.121 Å, b = 5.121 Å, c = 3.663 Å, α = 90.00°, β = 90.00° and γ = 90.00°. Symmetry generates all atoms from In at (0.000, 0.000, 0.000), P at (0.500, 0.500, 0.000), S at (0.000, 0.500, 0.500) and F at (0.500, 0.500, 0.500).

The value obtained for the uncorrected formation energy is 0.40 eV per atom. Its energy above the lowest structure with this stoichiometry is 0.0 meV per atom. As for the crystal system: tetragonal.


## InP2SF (PBE-GGA)

Data for a relaxed InP2SF crystal.

It has space group P4/mmm (No. 123), with a = 4.055 Å, b = 4.055 Å, c = 6.246 Å, α = 90.00°, β = 90.00° and γ = 90.00°. Symmetry generates all atoms from In at (0.000, 0.000, 0.000), P at (0.000, 0.500, 0.500), S at (0.500, 0.500, 0.000) and F at (0.500, 0.500, 0.500).

The value obtained for the uncorrected formation energy is 0.47 eV per atom. Its energy above the lowest structure with this stoichiometry is 0.0 meV per atom. As for the crystal system: tetragonal.


## InP2SF (PBE-GGA)

Data for a relaxed InP2SF crystal.

It has space group P4/mmm (No. 123), with a = 5.165 Å, b = 5.165 Å, c = 4.955 Å, α = 90.00°, β = 90.00° and γ = 90.00°. Symmetry generates all atoms from In at (0.000, 0.000, 0.000), P at (0.000, 0.500, 0.000), S at (0.000, 0.000, 0.500) and F at (0.500, 0.500, 0.500).

The value obtained for the uncorrected formation energy is 0.96 eV per atom. Its energy above the lowest structure with this stoichiometry is 499.4 meV per atom. As for the crystal system: tetragonal.


## PaIn2F11 (PBE-GGA)

Data for a relaxed PaIn2F11 crystal.

It has space group Ibam (No. 72), with a = 7.741 Å, b = 10.105 Å, c = 11.126 Å, α = 90.00°, β = 90.00° and γ = 90.00°. Symmetry generates all atoms from Pa at (0.000, 0.000, 0.250), In at (0.132, 0.320, 0.000), F at (0.000, 0.500, 0.000), F at (0.094, 0.173, 0.146), F at (0.134, 0.279, 0.500) and F at (0.221, 0.069, 0.361).

The value obtained for the uncorrected formation energy is -3.01 eV per atom. As for the crystal system: orthorhombic.


## Pa2InF9 (PBE-GGA)

Data for a relaxed Pa2InF9 crystal.

It has space group P6/mmm (No. 191), with a = 8.0085 Å, b = 8.0085 Å, c = 3.5678 Å, α = 90.00°, β = 90.00° and γ = 120.00°. Symmetry generates all atoms from Pa at (0.3333, 0.6667, 0.0000), In at (0.0000, 0.0000, 0.0000), F at (0.0000, 0.5000, 0.0000) and F at (0.2233, 0.4466, 0.5000).

The value obtained for the uncorrected formation energy is -3.40 eV per atom. As for the crystal system: hexagonal.


## PaInF5 (PBE-GGA)

Data for a relaxed PaInF5 crystal.

It has space group P-1 (No. 2), with a = 6.993 Å, b = 7.004 Å, c = 8.432 Å, α = 103.08°, β = 109.61° and γ = 108.74°. Symmetry generates all atoms from Pa at (0.000, 0.000, 0.000), Pa at (0.500, 0.000, 0.500), In at (0.247, 0.497, 0.750), F at (0.076, 0.778, 0.838), F at (0.171, 0.749, 0.434), F at (0.185, 0.264, 0.935), F at (0.323, 0.073, 0.250) and F at (0.436, 0.235, 0.661).

The value obtained for the uncorrected formation energy is -3.19 eV per atom. As for the crystal system: triclinic.


## PaIn6F12 (PBE-GGA)

Data for a relaxed PaIn6F12 crystal.

It has space group R-3 (No. 148, hexagonal axes), with a = 12.3593 Å, b = 12.3593 Å, c = 10.4073 Å, α = 90.00°, β = 90.00° and γ = 120.00°. Symmetry generates all atoms from Pa at (0.0000, 0.0000, 0.0000), In at (0.0420, 0.8172, 0.6287), F at (0.0321, 0.8630, 0.3920) and F at (0.0358, 0.8824, 0.8810).

The value obtained for the uncorrected formation energy is -2.39 eV per atom. As for the crystal system: trigonal.


## PaIn3F8 (PBE-GGA)

Data for a relaxed PaIn3F8 crystal.

It has space group Pm-3m (No. 221), with a = 6.170 Å, b = 6.170 Å, c = 6.170 Å, α = 90.00°, β = 90.00° and γ = 90.00°. Symmetry generates all atoms from Pa at (0.000, 0.000, 0.000), In at (0.000, 0.500, 0.500) and F at (0.209, 0.209, 0.209).

The value obtained for the uncorrected formation energy is -2.76 eV per atom. As for the crystal system: cubic.


## RbPaIn2F8 (PBE-GGA)

Data for a relaxed RbPaIn2F8 crystal.

It has space group P2/m (No. 10), with a = 4.052 Å, b = 8.792 Å, c = 7.077 Å, α = 90.00°, β = 90.17° and γ = 90.00°. Symmetry generates all atoms from Rb at (0.000, 0.000, 0.000), Pa at (0.000, 0.500, 0.000), In at (0.500, 0.212, 0.500), F at (0.001, 0.309, 0.185), F at (0.498, 0.000, 0.707) and F at (0.500, 0.500, 0.169).

The value obtained for the uncorrected formation energy is -2.95 eV per atom. As for the crystal system: monoclinic.


## RbPaInF6 (PBE-GGA)

Data for a relaxed RbPaInF6 crystal.

It has space group P-31c (No. 163), with a = 7.1790 Å, b = 7.1790 Å, c = 8.6298 Å, α = 90.00°, β = 90.00° and γ = 120.00°. Symmetry generates all atoms from Rb at (0.3333, 0.6667, 0.2500), Pa at (0.3333, 0.6667, 0.7500), In at (0.0000, 0.0000, 0.0000) and F at (0.0789, 0.4066, 0.6132).

The value obtained for the uncorrected formation energy is -3.12 eV per atom. As for the crystal system: trigonal.